# ZnWI2O

A geometry-optimized ZnWI2O structure (GGA+U, Alexandria).

The energy above the most stable polymorph in this dataset comes out at 555 meV/atom.

It has space group P4/mmm (No. 123), with a = 5.8064 Å, b = 5.8064 Å, c = 3.7221 Å, α = 90.00°, β = 90.00° and γ = 90.00°. The asymmetric unit holds Zn at (0.0000, 0.0000, 0.0000), W at (0.5000, 0.5000, 0.5000), I at (0.0000, 0.5000, 0.0000) and O at (0.0000, 0.0000, 0.5000).